# 1
{"formula": "KNaSr2Au", "functional": "PBE", "state": "relaxed", "lattice_angstrom": [[-0.666, -6.106, -0.111], [0.264, 0.082, -6.137], [6.410, -0.704, 0.266]], "species": ["Sr", "Na", "K", "Au", "Sr"], "fractional_positions": [[0.000, 0.500, 0.000], [0.500, 0.500, 0.500], [0.000, 0.000, 0.500], [0.000, 0.000, 0.000], [0.500, 0.000, 0.000]], "dos_ef_per_ev_cell": 3.2, "vol_a3_per_atom": 48.7, "polymorph_energy_mev_per_atom": 21.2, "space_group": "P4/mmm (123)", "rho_g_cm3": 3.0, "e_form_ev_per_atom": -0.21}

=====

# 2
{"formula": "KNaSr2Au", "functional": "PBE", "state": "relaxed", "lattice_angstrom": [[-1.253, -0.215, 6.029], [-5.342, -2.823, -1.210], [2.769, -5.403, 0.383]], "species": ["Sr", "Sr", "Na", "K", "Au"], "fractional_positions": [[0.500, 0.000, 0.000], [0.000, 0.500, 0.000], [0.000, 0.000, 0.500], [0.500, 0.500, 0.500], [0.000, 0.000, 0.000]], "dos_ef_per_ev_cell": 3.9, "vol_a3_per_atom": 46.2, "polymorph_energy_mev_per_atom": 0.0, "space_group": "P4/mmm (123)", "rho_g_cm3": 3.1, "e_form_ev_per_atom": -0.23}

=====

# 3
{"formula": "KNa2TaAu", "functional": "PBE", "state": "relaxed", "lattice_angstrom": [[-3.195, -1.082, -4.899], [-3.795, -4.082, 3.376], [-3.629, 4.508, 1.372]], "species": ["Au", "Na", "Na", "K", "Ta"], "fractional_positions": [[0.500, 0.500, 0.500], [0.000, 0.000, 0.500], [0.500, 0.000, 0.000], [0.000, 0.500, 0.000], [0.000, 0.000, 0.000]], "dos_ef_per_ev_cell": 1.7, "vol_a3_per_atom": 46.1, "space_group": "P4/mmm (123)", "rho_g_cm3": 3.3, "e_form_ev_per_atom": 1.45}

=====

# 4
{"formula": "KNa2TlAu", "functional": "PBE", "state": "relaxed", "lattice_angstrom": [[5.971, 0.000, 0.000], [0.000, 5.971, 0.000], [0.000, 0.000, 5.354]], "species": ["K", "Tl", "Na", "Na", "Au"], "fractional_positions": [[0.500, 0.500, 0.500], [0.000, 0.000, 0.000], [0.000, 0.500, 0.000], [0.500, 0.000, 0.000], [0.000, 0.000, 0.500]], "dos_ef_per_ev_cell": 3.0, "vol_a3_per_atom": 38.2, "polymorph_energy_mev_per_atom": 121.1, "space_group": "P4/mmm (123)", "rho_g_cm3": 4.2, "e_form_ev_per_atom": 0.00}

=====

# 5
{"formula": "K2NaTl4Au3", "functional": "PBE", "state": "relaxed", "lattice_angstrom": [[-0.021, 3.498, 3.695], [-5.083, -0.184, 0.146], [0.541, -8.528, 8.077]], "species": ["Tl", "K", "Tl", "Au", "Au", "Na", "Tl", "K", "Au", "Tl"], "fractional_positions": [[0.000, 0.000, 0.000], [0.500, 0.000, 0.244], [0.000, 0.500, 0.365], [0.000, 0.500, 0.126], [0.500, 0.000, 0.874], [0.500, 0.500, 0.500], [0.500, 0.000, 0.635], [0.000, 0.500, 0.756], [0.000, 0.000, 0.500], [0.500, 0.500, 0.000]], "dos_ef_per_ev_cell": 4.1, "vol_a3_per_atom": 30.4, "space_group": "P-4m2 (115)", "rho_g_cm3": 8.2, "e_form_ev_per_atom": -0.15}

=====

# 6
{"formula": "K2NaTlAu2", "functional": "PBE", "state": "relaxed", "lattice_angstrom": [[-4.406, 1.464, -2.055], [0.922, -5.504, -5.897], [-4.468, -6.244, 5.130]], "species": ["K", "K", "Au", "Au", "Na", "Na", "Tl", "Tl", "Au", "K", "Au", "K"], "fractional_positions": [[0.500, 0.020, 0.103], [0.000, 0.851, 0.827], [0.000, 0.753, 0.181], [0.500, 0.289, 0.395], [0.000, 0.985, 0.451], [0.000, 0.485, 0.549], [0.500, 0.647, 0.322], [0.500, 0.147, 0.678], [0.000, 0.253, 0.819], [0.500, 0.520, 0.897], [0.500, 0.789, 0.605], [0.000, 0.351, 0.173]], "dos_ef_per_ev_cell": 4.8, "vol_a3_per_atom": 31.7, "space_group": "Pmc2_1 (26)", "rho_g_cm3": 6.1, "e_form_ev_per_atom": -0.21}

=====

# 7
{"formula": "KNaTl2Au", "functional": "PBE", "state": "relaxed", "lattice_angstrom": [[5.632, 0.000, 0.000], [0.000, 5.632, 0.000], [0.000, 0.000, 5.671]], "species": ["Au", "K", "Tl", "Na", "Tl"], "fractional_positions": [[0.000, 0.000, 0.000], [0.500, 0.500, 0.500], [0.500, 0.000, 0.000], [0.000, 0.000, 0.500], [0.000, 0.500, 0.000]], "dos_ef_per_ev_cell": 2.2, "vol_a3_per_atom": 36.0, "polymorph_energy_mev_per_atom": 95.4, "space_group": "P4/mmm (123)", "rho_g_cm3": 6.2, "e_form_ev_per_atom": -0.08}

=====

# 8
{"formula": "KNaTl2Au", "functional": "PBE", "state": "relaxed", "lattice_angstrom": [[4.433, 0.000, 0.000], [0.000, 5.024, 0.000], [-2.216, -2.512, 7.020]], "species": ["Tl", "K", "Au", "Na", "Tl"], "fractional_positions": [[0.715, 0.215, 0.430], [0.425, 0.425, 0.850], [0.836, 0.836, 0.672], [0.194, 0.694, 0.388], [0.042, 0.042, 0.084]], "dos_ef_per_ev_cell": 1.9, "vol_a3_per_atom": 31.3, "polymorph_energy_mev_per_atom": 0.0, "space_group": "Imm2 (44)", "rho_g_cm3": 7.1, "e_form_ev_per_atom": -0.17}

=====

# 9
{"formula": "K2NaTlAu", "functional": "PBE", "state": "relaxed", "lattice_angstrom": [[-1.496, -4.623, 3.978], [0.667, -4.196, -4.625], [5.433, -0.609, 1.336]], "species": ["Tl", "Na", "K", "K", "Au"], "fractional_positions": [[0.500, 0.500, 0.500], [0.000, 0.000, 0.500], [0.000, 0.500, 0.000], [0.500, 0.000, 0.000], [0.000, 0.000, 0.000]], "dos_ef_per_ev_cell": 3.4, "vol_a3_per_atom": 44.4, "polymorph_energy_mev_per_atom": 32.9, "space_group": "P4/mmm (123)", "rho_g_cm3": 3.8, "e_form_ev_per_atom": -0.03}

=====

# 10
{"formula": "KNa2TlAu", "functional": "PBE", "state": "relaxed", "lattice_angstrom": [[-1.882, -3.512, 4.057], [-3.557, -2.402, -3.730], [4.059, -3.810, -1.416]], "species": ["Na", "Tl", "K", "Na", "Au"], "fractional_positions": [[0.000, 0.500, 0.000], [0.000, 0.000, 0.500], [0.500, 0.500, 0.500], [0.500, 0.000, 0.000], [0.000, 0.000, 0.000]], "dos_ef_per_ev_cell": 3.4, "vol_a3_per_atom": 37.1, "polymorph_energy_mev_per_atom": 0.0, "space_group": "P4/mmm (123)", "rho_g_cm3": 4.3, "e_form_ev_per_atom": -0.12}

=====

# 11
{"formula": "KNaTl4Au2", "functional": "PBE", "state": "relaxed", "lattice_angstrom": [[4.570, 0.000, 0.000], [0.000, 4.570, 0.000], [0.000, 0.000, 12.478]], "species": ["K", "Au", "Tl", "Tl", "Tl", "Tl", "Na", "Au"], "fractional_positions": [[0.000, 0.000, 0.000], [0.500, 0.500, 0.393], [0.000, 0.500, 0.237], [0.500, 0.000, 0.237], [0.500, 0.000, 0.763], [0.000, 0.500, 0.763], [0.000, 0.000, 0.500], [0.500, 0.500, 0.607]], "dos_ef_per_ev_cell": 3.5, "vol_a3_per_atom": 32.6, "space_group": "P4/mmm (123)", "rho_g_cm3": 8.1, "e_form_ev_per_atom": -0.07}

=====

# 12
{"formula": "KNa2TlAu", "functional": "PBE", "state": "relaxed", "lattice_angstrom": [[5.630, 0.000, 0.000], [0.000, 5.630, 0.000], [0.000, 0.000, 6.183]], "species": ["Tl", "Au", "Na", "K", "Na"], "fractional_positions": [[0.500, 0.500, 0.500], [0.000, 0.000, 0.000], [0.500, 0.000, 0.000], [0.000, 0.000, 0.500], [0.000, 0.500, 0.000]], "dos_ef_per_ev_cell": 2.3, "vol_a3_per_atom": 39.2, "polymorph_energy_mev_per_atom": 99.1, "space_group": "P4/mmm (123)", "rho_g_cm3": 4.1, "e_form_ev_per_atom": -0.02}